Compound: SmY2Ag
Source: Alexandria
Functional: PBE
Structure: relaxed

Structure (CIF):
```
data_SmY2Ag
_cell_length_a 5.089
_cell_length_b 6.507
_cell_length_c 7.782
_cell_angle_alpha 90.00
_cell_angle_beta 90.00
_cell_angle_gamma 113.03
_space_group_name_H-M_alt 'P 1'
_space_group_IT_number 1
loop_
_space_group_symop_operation_xyz
'x,y,z'
loop_
_atom_site_label
_atom_site_fract_x
_atom_site_fract_y
_atom_site_fract_z
_atom_site_occupancy
Y1 0.356 0.712 0.967 1
Ag1 0.200 0.400 0.250 1
Y2 0.356 0.712 0.533 1
Sm1 0.052 0.104 0.750 1
Ag2 0.800 0.600 0.750 1
Y3 0.644 0.288 0.467 1
Y4 0.644 0.288 0.033 1
Sm2 0.948 0.896 0.250 1
```

## Properties
The calculation puts the total moment at 0.0 μB per formula unit. The total energy is -5.2016 eV/atom. Its density of states at the Fermi level is 6.2 states/eV/f.u. Its volume is 29.6 Å³ per atom. The relative energy among the computed polymorphs is 23.0 kJ/mol of formula units. The value obtained for the formation energy is -0.31 eV per formula unit.

---

Compound: Ba2In4Pd5
Source: Alexandria
Functional: PBE
Structure: relaxed

Structure (CIF):
```
data_Ba2In4Pd5
_cell_length_a 6.174
_cell_length_b 6.100
_cell_length_c 8.847
_cell_angle_alpha 79.83
_cell_angle_beta 69.58
_cell_angle_gamma 59.60
_space_group_name_H-M_alt 'P 1'
_space_group_IT_number 1
loop_
_space_group_symop_operation_xyz
'x,y,z'
loop_
_atom_site_label
_atom_site_fract_x
_atom_site_fract_y
_atom_site_fract_z
_atom_site_occupancy
In1 0.533 0.678 0.256 1
In2 0.211 0.322 0.256 1
Ba1 0.868 0.000 0.263 1
In3 0.789 0.678 0.744 1
Pd1 0.500 0.000 0.000 1
In4 0.467 0.322 0.744 1
Ba2 0.132 0.000 0.737 1
Pd2 0.750 0.500 0.500 1
Pd3 0.250 0.500 0.500 1
Pd4 0.000 0.500 0.000 1
Pd5 0.500 0.500 0.000 1
```

## Properties
The calculation puts the total moment at 0.0 μB per formula unit. The total energy is -4.2748 eV/atom. Its density of states at the Fermi level is 7.6 states/eV/f.u. Its volume is 24.5 Å³ per atom. The value obtained for the formation energy is -6.26 eV per formula unit.